one:
Here is crystalline HgPdI2N at its relaxed geometry from Alexandria via LeMat-Bulk. Energies are from PBE-GGA.

Cell lengths 5.8293, 5.8293, 3.7916 Å; angles 90.00, 90.00, 90.00 degrees
With the nearest neighbours (Å) after each atom.
Space group P4/mmm (No. 123)
Inequivalent atoms, fractional coordinates:
Hg: 0.0000 0.0000 0.0000  8 I 3.48, 2 Hg 3.79
Pd: 0.5000 0.5000 0.5000  2 N 1.90
I: 0.0000 0.5000 0.5000  2 Pd 2.91
N: 0.5000 0.5000 0.0000  2 Pd 1.90

---

two:
Here is crystalline HgPdI2N at its relaxed geometry from Alexandria via LeMat-Bulk. Energies are from PBE-GGA.

Cell lengths 6.0482, 6.0482, 4.1234 Å; angles 90.00, 90.00, 90.00 degrees
With the nearest neighbours (Å) after each atom.
Space group P4/mmm (No. 123)
Inequivalent atoms, fractional coordinates:
Hg: 0.0000 0.0000 0.0000  2 N 2.06
Pd: 0.5000 0.5000 0.5000  8 I 3.66
I: 0.0000 0.5000 0.0000  2 Hg 3.02
N: 0.0000 0.0000 0.5000  2 Hg 2.06

---

Relative energies, unit eV/atom: one 0.000; two 0.614

---

one:
Here is crystalline HgPtIN2 at its relaxed geometry from Alexandria via LeMat-Bulk. Energies are from PBE-GGA.

Cell lengths 4.1214, 4.1214, 7.6180 Å; angles 90.00, 90.00, 90.00 degrees
With the nearest neighbours (Å) after each atom.
Space group P4/mmm (No. 123)
Inequivalent atoms, fractional coordinates:
Hg: 0.0000 0.0000 0.0000  4 N 2.06
Pt: 0.5000 0.5000 0.5000  4 I 2.91
I: 0.0000 0.0000 0.5000  4 Pt 2.91
N: 0.0000 0.5000 0.0000  2 Hg 2.06

---

two:
Here is crystalline HgPtIN2 at its relaxed geometry from Alexandria via LeMat-Bulk. Energies are from PBE-GGA.

Cell lengths 3.9439, 3.9439, 8.0560 Å; angles 90.00, 90.00, 90.00 degrees
With the nearest neighbours (Å) after each atom.
Space group P4/mmm (No. 123)
Inequivalent atoms, fractional coordinates:
Hg: 0.0000 0.0000 0.0000  4 I 2.79
Pt: 0.5000 0.5000 0.5000  4 N 1.97
I: 0.5000 0.5000 0.0000  4 Hg 2.79
N: 0.0000 0.5000 0.5000  2 Pt 1.97

---

Relative energies, unit eV/atom: one 0.850; two 0.000

---

one:
Here is crystalline HgPtI2N at its relaxed geometry from Alexandria via LeMat-Bulk. Energies are from PBE-GGA.

Cell lengths 5.9878, 5.9878, 4.0520 Å; angles 90.00, 90.00, 90.00 degrees
With the nearest neighbours (Å) after each atom.
Space group P4/mmm (No. 123)
Inequivalent atoms, fractional coordinates:
Hg: 0.0000 0.0000 0.0000  2 N 2.03
Pt: 0.5000 0.5000 0.5000  8 I 3.61
I: 0.0000 0.5000 0.0000  2 Hg 2.99
N: 0.0000 0.0000 0.5000  2 Hg 2.03

---

two:
Here is crystalline HgPtI2N at its relaxed geometry from Alexandria via LeMat-Bulk. Energies are from PBE-GGA.

Cell lengths 5.8560, 5.8560, 3.7530 Å; angles 90.00, 90.00, 90.00 degrees
With the nearest neighbours (Å) after each atom.
Space group P4/mmm (No. 123)
Inequivalent atoms, fractional coordinates:
Hg: 0.0000 0.0000 0.0000  8 I 3.48, 2 Hg 3.75
Pt: 0.5000 0.5000 0.5000  2 N 1.88
I: 0.0000 0.5000 0.5000  2 Pt 2.93
N: 0.5000 0.5000 0.0000  2 Pt 1.88

---

Relative energies, unit eV/atom: one 1.063; two 0.000

---

one:
Here is crystalline ReHgI2N at its relaxed geometry from Alexandria via LeMat-Bulk. Energies are from PBE-GGA.

Cell lengths 5.7035, 5.7035, 3.7988 Å; angles 90.00, 90.00, 90.00 degrees
With the nearest neighbours (Å) after each atom.
Space group P4/mmm (No. 123)
Inequivalent atoms, fractional coordinates:
Re: 0.0000 0.0000 0.0000  2 N 1.90
Hg: 0.5000 0.5000 0.5000  8 I 3.43, 2 Hg 3.80
I: 0.0000 0.5000 0.0000  2 Re 2.85
N: 0.0000 0.0000 0.5000  2 Re 1.90

---

two:
Here is crystalline ReHgI2N at its relaxed geometry from Alexandria via LeMat-Bulk. Energies are from PBE-GGA.

Cell lengths 6.2519, 6.2519, 3.9447 Å; angles 90.00, 90.00, 90.00 degrees
With the nearest neighbours (Å) after each atom.
Space group P4/mmm (No. 123)
Inequivalent atoms, fractional coordinates:
Re: 0.0000 0.0000 0.0000  8 I 3.70, 2 Re 3.94
Hg: 0.5000 0.5000 0.5000  2 N 1.97
I: 0.0000 0.5000 0.5000  2 Hg 3.13
N: 0.5000 0.5000 0.0000  2 Hg 1.97

---

Relative energies, unit eV/atom: one 0.000; two 1.671

---

one:
Here is crystalline ReHgIN2 at its relaxed geometry from Alexandria via LeMat-Bulk. Energies are from PBE-GGA.

Cell lengths 4.1956, 4.1956, 7.5038 Å; angles 90.00, 90.00, 90.00 degrees
With the nearest neighbours (Å) after each atom.
Space group P4/mmm (No. 123)
Inequivalent atoms, fractional coordinates:
Re: 0.0000 0.0000 0.0000  4 I 2.97
Hg: 0.5000 0.5000 0.5000  4 N 2.10
I: 0.5000 0.5000 0.0000  4 Re 2.97
N: 0.0000 0.5000 0.5000  2 Hg 2.10

---

two:
Here is crystalline ReHgIN2 at its relaxed geometry from Alexandria via LeMat-Bulk. Energies are from PBE-GGA.

Cell lengths 3.9867, 3.9867, 5.8690 Å; angles 90.00, 90.00, 90.00 degrees
With the nearest neighbours (Å) after each atom.
Space group P4/mmm (No. 123)
Inequivalent atoms, fractional coordinates:
Re: 0.0000 0.0000 0.0000  4 N 1.99
Hg: 0.5000 0.5000 0.5000  4 I 2.82
I: 0.0000 0.0000 0.5000  4 Hg 2.82, 2 Re 2.93
N: 0.0000 0.5000 0.0000  2 Re 1.99

---

Relative energies, unit eV/atom: one 1.978; two 0.000

---

one:
Here is crystalline HgRuI2N at its relaxed geometry from Alexandria via LeMat-Bulk. Energies are from PBE-GGA.

Cell lengths 5.6773, 5.6773, 3.7411 Å; angles 90.00, 90.00, 90.00 degrees
With the nearest neighbours (Å) after each atom.
Space group P4/mmm (No. 123)
Inequivalent atoms, fractional coordinates:
Hg: 0.0000 0.0000 0.0000  8 I 3.40, 2 Hg 3.74
Ru: 0.5000 0.5000 0.5000  2 N 1.87
I: 0.0000 0.5000 0.5000  2 Ru 2.84
N: 0.5000 0.5000 0.0000  2 Ru 1.87

---

two:
Here is crystalline HgRuI2N at its relaxed geometry from Alexandria via LeMat-Bulk. Energies are from PBE-GGA.

Cell lengths 6.1355, 6.1355, 3.9237 Å; angles 90.00, 90.00, 90.00 degrees
With the nearest neighbours (Å) after each atom.
Space group P4/mmm (No. 123)
Inequivalent atoms, fractional coordinates:
Hg: 0.0000 0.0000 0.0000  2 N 1.96
Ru: 0.5000 0.5000 0.5000  8 I 3.64, 2 Ru 3.92
I: 0.0000 0.5000 0.0000  2 Hg 3.07
N: 0.0000 0.0000 0.5000  2 Hg 1.96

---

Relative energies, unit eV/atom: one 0.000; two 1.368

---

one:
Here is crystalline HgSI2N at its relaxed geometry from Alexandria via LeMat-Bulk. Energies are from PBE-GGA.

Cell lengths 6.1636, 6.1636, 4.2347 Å; angles 90.00, 90.00, 90.00 degrees
With the nearest neighbours (Å) after each atom.
Space group P4/mmm (No. 123)
Inequivalent atoms, fractional coordinates:
Hg: 0.0000 0.0000 0.0000  2 N 2.12
S: 0.5000 0.5000 0.5000  8 I 3.74
I: 0.0000 0.5000 0.0000  2 Hg 3.08
N: 0.0000 0.0000 0.5000  2 Hg 2.12

---

two:
Here is crystalline HgSI2N at its relaxed geometry from Alexandria via LeMat-Bulk. Energies are from PBE-GGA.

Cell lengths 7.3836, 7.3836, 3.2252 Å; angles 90.00, 90.00, 90.00 degrees
With the nearest neighbours (Å) after each atom.
Space group P4/mmm (No. 123)
Inequivalent atoms, fractional coordinates:
Hg: 0.0000 0.0000 0.0000  2 Hg 3.23
S: 0.5000 0.5000 0.5000  2 N 1.61
I: 0.0000 0.5000 0.5000  2 I 3.23
N: 0.5000 0.5000 0.0000  2 S 1.61

---

Relative energies, unit eV/atom: one 0.731; two 0.000

---

one:
Here is crystalline HgS2IN at its relaxed geometry from Alexandria via LeMat-Bulk. Energies are from PBE-GGA.

Cell lengths 5.2134, 5.2134, 4.2367 Å; angles 90.00, 90.00, 90.00 degrees
With the nearest neighbours (Å) after each atom.
Space group P4/mmm (No. 123)
Inequivalent atoms, fractional coordinates:
Hg: 0.0000 0.0000 0.0000  2 N 2.12
S: 0.0000 0.5000 0.0000  2 Hg 2.61
I: 0.5000 0.5000 0.5000  8 S 3.36, 4 N 3.69
N: 0.0000 0.0000 0.5000  2 Hg 2.12

---

two:
Here is crystalline HgS2IN at its relaxed geometry from Alexandria via LeMat-Bulk. Energies are from PBE-GGA.

Cell lengths 5.2678, 5.2678, 3.9657 Å; angles 90.00, 90.00, 90.00 degrees
With the nearest neighbours (Å) after each atom.
Space group P4/mmm (No. 123)
Inequivalent atoms, fractional coordinates:
Hg: 0.0000 0.0000 0.0000  8 S 3.30
S: 0.0000 0.5000 0.5000  2 I 2.63
I: 0.5000 0.5000 0.5000  2 N 1.98
N: 0.5000 0.5000 0.0000  2 I 1.98

---

Relative energies, unit eV/atom: one 0.150; two 0.000

---

one:
Here is crystalline HgSbI2N at its relaxed geometry from Alexandria via LeMat-Bulk. Energies are from PBE-GGA.

Cell lengths 4.9905, 4.9905, 5.0917 Å; angles 90.00, 90.00, 90.00 degrees
With the nearest neighbours (Å) after each atom.
Space group P4/mmm (No. 123)
Inequivalent atoms, fractional coordinates:
Hg: 0.0000 0.0000 0.0000  4 Sb 3.53, 8 I 3.56
Sb: 0.5000 0.5000 0.0000  2 N 2.55
I: 0.0000 0.5000 0.5000  2 N 2.50
N: 0.5000 0.5000 0.5000  4 I 2.50, 2 Sb 2.55

---

two:
Here is crystalline HgSbI2N at its relaxed geometry from Alexandria via LeMat-Bulk. Energies are from PBE-GGA.

Cell lengths 5.7764, 5.7764, 5.6940 Å; angles 90.00, 90.00, 90.00 degrees
With the nearest neighbours (Å) after each atom.
Space group P4/mmm (No. 123)
Inequivalent atoms, fractional coordinates:
Hg: 0.0000 0.0000 0.0000  2 Sb 2.85, 4 I 2.89
Sb: 0.0000 0.0000 0.5000  2 Hg 2.85
I: 0.0000 0.5000 0.0000  2 Hg 2.89
N: 0.5000 0.5000 0.5000  8 I 4.06, 4 Sb 4.08

---

Relative energies, unit eV/atom: one 0.000; two 0.964

---

one:
Here is crystalline HgSbI2N at its relaxed geometry from Alexandria via LeMat-Bulk. Energies are from PBE-GGA.

Cell lengths 6.2399, 6.2399, 3.9820 Å; angles 90.00, 90.00, 90.00 degrees
With the nearest neighbours (Å) after each atom.
Space group P4/mmm (No. 123)
Inequivalent atoms, fractional coordinates:
Hg: 0.0000 0.0000 0.0000  8 I 3.70, 2 Hg 3.98
Sb: 0.5000 0.5000 0.5000  2 N 1.99
I: 0.0000 0.5000 0.5000  2 Sb 3.12
N: 0.5000 0.5000 0.0000  2 Sb 1.99

---

two:
Here is crystalline HgSbI2N at its relaxed geometry from Alexandria via LeMat-Bulk. Energies are from PBE-GGA.

Cell lengths 6.3037, 6.3037, 3.9127 Å; angles 90.00, 90.00, 90.00 degrees
With the nearest neighbours (Å) after each atom.
Space group P4/mmm (No. 123)
Inequivalent atoms, fractional coordinates:
Hg: 0.0000 0.0000 0.0000  2 N 1.96
Sb: 0.5000 0.5000 0.5000  8 I 3.71, 2 Sb 3.91
I: 0.0000 0.5000 0.0000  2 Hg 3.15
N: 0.0000 0.0000 0.5000  2 Hg 1.96

---

Relative energies, unit eV/atom: one 0.000; two 0.536

---

one:
Here is crystalline HgSeIN2 at its relaxed geometry from Alexandria via LeMat-Bulk. Energies are from PBE-GGA.

Cell lengths 3.9970, 3.9970, 6.6678 Å; angles 90.00, 90.00, 90.00 degrees
With the nearest neighbours (Å) after each atom.
Space group P4/mmm (No. 123)
Inequivalent atoms, fractional coordinates:
Hg: 0.0000 0.0000 0.0000  4 Se 2.83
Se: 0.5000 0.5000 0.0000  4 Hg 2.83
I: 0.5000 0.5000 0.5000  4 N 2.00
N: 0.0000 0.5000 0.5000  2 I 2.00

---

two:
Here is crystalline HgSeIN2 at its relaxed geometry from Alexandria via LeMat-Bulk. Energies are from PBE-GGA.

Cell lengths 4.2417, 4.2417, 8.1668 Å; angles 90.00, 90.00, 90.00 degrees
With the nearest neighbours (Å) after each atom.
Space group P4/mmm (No. 123)
Inequivalent atoms, fractional coordinates:
Hg: 0.0000 0.0000 0.0000  4 N 2.12
Se: 0.5000 0.5000 0.5000  4 I 3.00
I: 0.0000 0.0000 0.5000  4 Se 3.00
N: 0.0000 0.5000 0.0000  2 Hg 2.12

---

Relative energies, unit eV/atom: one 0.000; two 0.189

---

one:
Here is crystalline HgSeIN2 at its relaxed geometry from Alexandria via LeMat-Bulk. Energies are from PBE-GGA.

Cell lengths 4.3592, 4.3592, 6.3514 Å; angles 90.00, 90.00, 90.00 degrees
With the nearest neighbours (Å) after each atom.
Space group P4/mmm (No. 123)
Inequivalent atoms, fractional coordinates:
Hg: 0.0000 0.0000 0.0000  4 N 2.18
Se: 0.0000 0.0000 0.5000  4 I 3.08, 2 Hg 3.18
I: 0.5000 0.5000 0.5000  4 Se 3.08
N: 0.0000 0.5000 0.0000  2 Hg 2.18

---

two:
Here is crystalline HgSeIN2 at its relaxed geometry from Alexandria via LeMat-Bulk. Energies are from PBE-GGA.

Cell lengths 4.0616, 4.0616, 7.8477 Å; angles 90.00, 90.00, 90.00 degrees
With the nearest neighbours (Å) after each atom.
Space group P4/mmm (No. 123)
Inequivalent atoms, fractional coordinates:
Hg: 0.0000 0.0000 0.0000  4 I 2.87
Se: 0.5000 0.5000 0.5000  4 N 2.03
I: 0.5000 0.5000 0.0000  4 Hg 2.87
N: 0.0000 0.5000 0.5000  2 Se 2.03

---

Relative energies, unit eV/atom: one 0.296; two 0.000

---

one:
Here is crystalline HgSe2IN at its relaxed geometry from Alexandria via LeMat-Bulk. Energies are from PBE-GGA.

Cell lengths 5.5757, 5.5757, 3.9802 Å; angles 90.00, 90.00, 90.00 degrees
With the nearest neighbours (Å) after each atom.
Space group P4/mmm (No. 123)
Inequivalent atoms, fractional coordinates:
Hg: 0.0000 0.0000 0.0000  8 Se 3.43
Se: 0.0000 0.5000 0.5000  2 I 2.79
I: 0.5000 0.5000 0.5000  2 N 1.99
N: 0.5000 0.5000 0.0000  2 I 1.99

---

two:
Here is crystalline HgSe2IN at its relaxed geometry from Alexandria via LeMat-Bulk. Energies are from PBE-GGA.

Cell lengths 5.4960, 5.4960, 4.1908 Å; angles 90.00, 90.00, 90.00 degrees
With the nearest neighbours (Å) after each atom.
Space group P4/mmm (No. 123)
Inequivalent atoms, fractional coordinates:
Hg: 0.0000 0.0000 0.0000  2 N 2.10
Se: 0.0000 0.5000 0.0000  2 Hg 2.75
I: 0.5000 0.5000 0.5000  8 Se 3.46
N: 0.0000 0.0000 0.5000  2 Hg 2.10

---

Relative energies, unit eV/atom: one 0.000; two 0.075

---

one:
Here is crystalline SiHgI2N at its relaxed geometry from Alexandria via LeMat-Bulk. Energies are from PBE-GGA.

Cell lengths 6.5744, 6.5744, 3.2381 Å; angles 90.00, 90.00, 90.00 degrees
With the nearest neighbours (Å) after each atom.
Space group P4/mmm (No. 123)
Inequivalent atoms, fractional coordinates:
Si: 0.0000 0.0000 0.0000  2 N 1.62
Hg: 0.5000 0.5000 0.5000  2 Hg 3.24
I: 0.0000 0.5000 0.0000  2 I 3.24, 2 Si 3.29
N: 0.0000 0.0000 0.5000  2 Si 1.62

---

two:
Here is crystalline SiHgI2N at its relaxed geometry from Alexandria via LeMat-Bulk. Energies are from PBE-GGA.

Cell lengths 5.2914, 5.2914, 4.4540 Å; angles 90.00, 90.00, 90.00 degrees
With the nearest neighbours (Å) after each atom.
Space group P4/mmm (No. 123)
Inequivalent atoms, fractional coordinates:
Si: 0.0000 0.0000 0.0000  8 I 3.46, 4 Hg 3.74
Hg: 0.5000 0.5000 0.0000  2 N 2.23
I: 0.0000 0.5000 0.5000  2 N 2.65
N: 0.5000 0.5000 0.5000  2 Hg 2.23

---

three:
Here is crystalline SiHgI2N at its relaxed geometry from Alexandria via LeMat-Bulk. Energies are from PBE-GGA.

Cell lengths 6.1748, 6.1748, 4.0763 Å; angles 90.00, 90.00, 90.00 degrees
With the nearest neighbours (Å) after each atom.
Space group P4/mmm (No. 123)
Inequivalent atoms, fractional coordinates:
Si: 0.0000 0.0000 0.0000  8 I 3.70, 2 Si 4.08
Hg: 0.5000 0.5000 0.5000  2 N 2.04
I: 0.0000 0.5000 0.5000  2 Hg 3.09
N: 0.5000 0.5000 0.0000  2 Hg 2.04

---

Relative energies, unit eV/atom: one 0.000; two 0.914; three 1.032